Computed, not measured: an optimized crystal structure of MgZrCuRh at the PBE level of DFT.

Results
crystal system	cubic
ΔH_f (0 K)	-0.434	eV per atom

POSCAR file:
```
MgZrCuRh
1.0
-1.027 -3.917 2.078
3.326 -2.767 1.413
0.811 -0.496 4.451
Mg Rh Cu Zr
1 1 1 1
Direct
0.500 0.500 0.500
0.750 0.750 0.750
0.250 0.250 0.250
0.000 0.000 0.000
```